VASP calculation (PBE) on an optimized crystal structure of Na2AuBr5.

Output
Total energy   -2.578 eV/atom
Magnetic moment   0.0000 μB per atom
Formation energy without anion corrections   -793 meV per atom
Energy above the lowest structure with this stoichiometry   0.07 eV per formula unit

a = 6.174 Å, b = 13.651 Å, c = 12.738 Å
α = 90.00°, β = 90.00°, γ = 90.00°
Space group Cmcm (No. 63)
One atom of each set of equivalent atoms:
Na 0.000 0.176 0.081
Au 0.000 0.185 0.750
Br 0.000 0.054 0.610
Br 0.000 0.310 0.250
Br 0.000 0.317 0.606